Entry 1:
# CuW2 PBE-GGA optimized geometry
data_CuW2
_chemical_formula_sum 'Cu4 W8'
_cell_length_a 10.491
_cell_length_b 2.649
_cell_length_c 6.704
_cell_angle_alpha 90.00
_cell_angle_beta 105.16
_cell_angle_gamma 90.00
_symmetry_space_group_name_H-M 'C 1 2/m 1'
_symmetry_Int_Tables_number 12
loop_
_symmetry_equiv_pos_as_xyz
'x,y,z'
'-x,-y,-z'
'-x,y,-z'
'x,-y,z'
'x+1/2,y+1/2,z'
'-x+1/2,-y+1/2,-z'
'-x+1/2,y+1/2,-z'
'x+1/2,-y+1/2,z'
loop_
_atom_site_label
_atom_site_type_symbol
_atom_site_fract_x
_atom_site_fract_y
_atom_site_fract_z
_atom_site_occupancy
Cu1 Cu 0.031 0.000 0.313 1
W1 W 0.130 0.500 0.024 1
W2 W 0.191 0.500 0.641 1
# - Energy relative to the lowest polymorph listed for this composition: 78.8 meV/atom
# - Total magnetic moment: 0.0 μB per formula unit
# - Energy of formation: 0.389 eV/atom

---

Entry 2:
# PmY2S4 PBE-GGA optimized geometry
data_PmY2S4
_chemical_formula_sum 'Pm4 Y8 S16'
_cell_length_a 3.861
_cell_length_b 12.998
_cell_length_c 13.213
_cell_angle_alpha 90.00
_cell_angle_beta 90.00
_cell_angle_gamma 90.00
_symmetry_space_group_name_H-M 'C m c m'
_symmetry_Int_Tables_number 63
_symmetry_space_group_name_Hall '-C 2c 2'
loop_
_atom_site_label
_atom_site_type_symbol
_atom_site_fract_x
_atom_site_fract_y
_atom_site_fract_z
_atom_site_occupancy
Pm1 Pm 0.000 0.125 0.250 1
Y1 Y 0.000 0.370 0.069 1
S1 S 0.000 0.000 0.000 1
S2 S 0.000 0.274 0.620 1
S3 S 0.000 0.466 0.250 1
# - Energy relative to the lowest polymorph listed for this composition: 0.0 meV/atom
# - Total magnetic moment: 0.0 μB per formula unit
# - Raw formation energy: -2073 meV per atom

---

Number 1: mass density 15.93 g/cm3. Number 2: mass density 4.52 g/cm3.